(1)
## CsTbZnO3 (PBE-GGA)

Data for crystalline CsTbZnO3 at its relaxed geometry.

Cell lengths 8.246, 3.601, 8.526 Å; angles 90.00, 109.33, 90.00 degrees
Positions (direct):
Cs  0.213  0.250  0.229
Cs  0.787  0.750  0.771
Tb  0.342  0.750  0.859
Tb  0.658  0.250  0.141
Zn  0.077  0.250  0.617
Zn  0.923  0.750  0.383
O  0.158  0.250  0.857
O  0.161  0.750  0.554
O  0.477  0.750  0.132
O  0.523  0.250  0.868
O  0.839  0.250  0.446
O  0.842  0.750  0.143

Output
SG: P2_1/m (11)
Energy relative to the elements, uncorrected (eV/atom): -2.210

***

(2)
## CsTc3O (PBE-GGA)

Data for crystalline CsTc3O at its relaxed geometry.

Cell lengths 4.357, 4.357, 4.357 Å; angles 90.00, 90.00, 90.00 degrees
Positions (direct):
Cs  0.000  0.000  0.000
Tc  0.000  0.500  0.500
Tc  0.500  0.000  0.500
Tc  0.500  0.500  0.000
O  0.500  0.500  0.500

Output
Energy relative to the lowest polymorph listed for this composition (eV per formula unit): 0.000
SG: Pm-3m (221)
Energy relative to the elements, uncorrected (eV/atom): 1.358

***

(3)
## Cs3Tc2O7 (PBE-GGA)

Data for crystalline Cs3Tc2O7 at its relaxed geometry.

Cell lengths 13.093, 13.093, 4.020 Å; angles 90.00, 90.00, 162.32 degrees
Positions (direct):
Cs  0.000  0.000  0.000
Cs  0.174  0.826  0.000
Cs  0.826  0.174  0.000
Tc  0.420  0.580  0.500
Tc  0.580  0.420  0.500
O  0.080  0.920  0.500
O  0.348  0.652  0.500
O  0.420  0.580  0.000
O  0.500  0.500  0.500
O  0.580  0.420  0.000
O  0.652  0.348  0.500
O  0.920  0.080  0.500

Output
SG: Cmmm (65)
Energy relative to the elements, uncorrected (eV/atom): -1.399